No. 1
Density functional theory data (PBE) for a geometry-optimized RbPuCu2Br8 structure.

Unit cell a=9.992 b=9.992 c=8.258 alpha=90.00 beta=90.00 gamma=90.00
Space group I-4m2 (No. 119)
Symmetry-distinct sites (fractional):
Rb: 0.000 0.000 0.000 (multiplicity 2)
Pu: 0.000 0.500 0.250 (multiplicity 2)
Cu: 0.000 0.000 0.500 (multiplicity 2)
Cu: 0.000 0.500 0.750 (multiplicity 2)
Br: 0.000 0.207 0.341 (multiplicity 8)
Br: 0.000 0.330 0.954 (multiplicity 8)

DFT total energy = -3.953 eV/atom

No. 2
Density functional theory data (PBE) for a geometry-optimized Rb3PuCu2Br9 structure.

Unit cell a=7.6945 b=7.6945 c=9.4961 alpha=90.00 beta=90.00 gamma=120.00
Space group P-3m1 (No. 164)
Symmetry-distinct sites (fractional):
Rb: 0.0000 0.0000 0.0000 (multiplicity 1)
Rb: 0.3333 0.6667 0.6943 (multiplicity 2)
Pu: 0.0000 0.0000 0.5000 (multiplicity 1)
Cu: 0.3333 0.6667 0.1302 (multiplicity 2)
Br: 0.0000 0.5000 0.0000 (multiplicity 3)
Br: 0.1714 0.3429 0.3279 (multiplicity 6)

DFT total energy = -3.896 eV/atom

No. 3
Density functional theory data (PBE) for a geometry-optimized PuTlCuBr6 structure.

Unit cell a=7.0842 b=7.0842 c=14.7019 alpha=90.00 beta=90.00 gamma=120.00
Space group P-31c (No. 163)
Symmetry-distinct sites (fractional):
Pu: 0.3333 0.6667 0.2500 (multiplicity 2)
Tl: 0.0000 0.0000 0.0000 (multiplicity 2)
Cu: 0.3333 0.6667 0.7500 (multiplicity 2)
Br: 0.0152 0.3727 0.6438 (multiplicity 12)

DFT total energy = -4.387 eV/atom

No. 4
Density functional theory data (PBE) for a geometry-optimized PuTlCu2Br8 structure.

Unit cell a=9.424 b=9.424 c=8.698 alpha=90.00 beta=90.00 gamma=90.00
Space group I-4m2 (No. 119)
Symmetry-distinct sites (fractional):
Pu: 0.000 0.000 0.000 (multiplicity 2)
Tl: 0.000 0.500 0.250 (multiplicity 2)
Cu: 0.000 0.000 0.500 (multiplicity 2)
Cu: 0.000 0.500 0.750 (multiplicity 2)
Br: 0.000 0.176 0.300 (multiplicity 8)
Br: 0.000 0.300 0.927 (multiplicity 8)

DFT total energy = -3.935 eV/atom

No. 5
Density functional theory data (PBE) for a geometry-optimized Rb3CuBr4 structure.

Unit cell a=11.240 b=8.861 c=6.949 alpha=90.00 beta=90.00 gamma=90.00
Space group Pmn2_1 (No. 31)
Symmetry-distinct sites (fractional):
Rb: 0.000 0.101 0.000 (multiplicity 2)
Rb: 0.222 0.336 0.509 (multiplicity 4)
Cu: 0.000 0.804 0.421 (multiplicity 2)
Br: 0.000 0.084 0.500 (multiplicity 2)
Br: 0.000 0.733 0.078 (multiplicity 2)
Br: 0.209 0.719 0.522 (multiplicity 4)

DFT total energy = -3.004 eV/atom
E above lowest polymorph = 38 meV per atom

No. 6
Density functional theory data (PBE) for a geometry-optimized Rb4CuBr5 structure.

Unit cell a=10.494 b=10.494 c=6.967 alpha=90.00 beta=90.00 gamma=90.00
Space group I4 (No. 79)
Symmetry-distinct sites (fractional):
Rb: 0.093 0.702 0.000 (multiplicity 8)
Cu: 0.000 0.000 0.578 (multiplicity 2)
Br: 0.000 0.000 0.925 (multiplicity 2)
Br: 0.084 0.743 0.496 (multiplicity 8)

DFT total energy = -2.991 eV/atom